## Ce3ScTe6 (PBE)

Data for Ce3ScTe6 after structural relaxation.

Space group: R-3, No. 148
DOS(E_F) in states/eV/atom: 2.0930
Final energy in eV per atom: -5.567

a = 8.9807 Å, b = 8.9807 Å, c = 8.9807 Å
α = 99.21°, β = 99.21°, γ = 99.21°
Fractional coordinates of all 20 atoms:
Ce (0.1226, 0.2947, 0.6332)
Ce (0.2947, 0.6332, 0.1226)
Ce (0.3668, 0.8774, 0.7053)
Ce (0.6332, 0.1226, 0.2947)
Ce (0.7053, 0.3668, 0.8774)
Ce (0.8774, 0.7053, 0.3668)
Sc (0.0000, 0.0000, 0.0000)
Sc (0.5000, 0.5000, 0.5000)
Te (0.0297, 0.9335, 0.6813)
Te (0.0665, 0.3187, 0.9703)
Te (0.1846, 0.5596, 0.4248)
Te (0.3187, 0.9703, 0.0665)
Te (0.4248, 0.1846, 0.5596)
Te (0.4404, 0.5752, 0.8154)
Te (0.5596, 0.4248, 0.1846)
Te (0.5752, 0.8154, 0.4404)
Te (0.6813, 0.0297, 0.9335)
Te (0.8154, 0.4404, 0.5752)
Te (0.9335, 0.6813, 0.0297)
Te (0.9703, 0.0665, 0.3187)